No. 1
# Li4Au5

A relaxed Li4Au5 crystal (PBEsol, Alexandria).

Output
The formation energy comes out at -0.41 eV per atom.

Lattice parameters (Å, degrees): 3.9905 6.2949 6.2949 84.23 71.52 71.52
Fractional positions:
Li  0.0000  0.6907  0.3093
Li  0.0000  0.3093  0.6907
Li  0.6907  0.3093  0.3093
Li  0.3093  0.6907  0.6907
Au  0.3291  0.0000  0.3417
Au  0.6709  0.0000  0.6583
Au  0.0000  0.0000  0.0000
Au  0.6709  0.6583  0.0000
Au  0.3291  0.3417  0.0000

***

No. 2
# SiCl2O

A relaxed SiCl2O crystal (PBEsol, Alexandria).

Output
The calculation puts the formation energy from raw total energies at -1.7925 eV per atom.

Lattice parameters (Å, degrees): 6.6194 9.0272 11.5290 77.56 77.10 72.91
Fractional positions:
Cl  0.7416  0.6867  0.6820
Cl  0.7342  0.2940  0.0698
Cl  0.2584  0.3133  0.3180
Cl  0.6845  0.1431  0.6893
Cl  0.2112  0.0217  0.6254
Cl  0.7371  0.8168  0.9926
Cl  0.7309  0.4395  0.3713
Cl  0.2691  0.5605  0.6287
Cl  0.3155  0.8569  0.3107
Cl  0.2658  0.7060  0.9302
Cl  0.2629  0.1832  0.0074
Cl  0.7888  0.9783  0.3746
O  0.0229  0.8495  0.1487
O  0.0065  0.5601  0.1482
O  0.0245  0.6444  0.3511
O  0.9755  0.3556  0.6489
O  0.9771  0.1505  0.8513
O  0.9935  0.4399  0.8518
Si  0.9941  0.5000  0.7074
Si  0.9633  0.1760  0.7083
Si  0.0367  0.8240  0.2917
Si  0.9913  0.2695  0.9365
Si  0.0059  0.5000  0.2926
Si  0.0087  0.7305  0.0635

***

No. 3
# Nd2CdPd2

A relaxed Nd2CdPd2 crystal (PBEsol, Alexandria).

Output
The formation energy comes out at -0.72 eV per atom.

Lattice parameters (Å, degrees): 3.8510 7.6804 7.6804 90.00 90.00 90.00
Fractional positions:
Cd  0.0000  0.0000  0.0000
Cd  0.0000  0.5000  0.5000
Pd  0.0000  0.6275  0.1275
Pd  0.0000  0.3725  0.8725
Pd  0.0000  0.1275  0.3725
Pd  0.0000  0.8725  0.6275
Nd  0.5000  0.1740  0.6740
Nd  0.5000  0.6740  0.8260
Nd  0.5000  0.8260  0.3260
Nd  0.5000  0.3260  0.1740

***

No. 4
# NbIrI2F

A relaxed NbIrI2F crystal (PBEsol, Alexandria).

Output
The calculation puts the formation energy from raw total energies at 0.8854 eV per atom.

Lattice parameters (Å, degrees): 3.8988 5.2386 5.2386 90.00 90.00 90.00
Fractional positions:
I  0.0000  0.5000  0.0000
I  0.0000  0.0000  0.5000
Nb  0.5000  0.5000  0.5000
Ir  0.5000  0.0000  0.0000
F  0.0000  0.0000  0.0000

***

Number 1: spin magnetization 0.000 μB/atom, VASP energy -3.47 eV per atom. Number 2: spin magnetization 0.000 μB/atom, VASP energy -5.55 eV per atom. Number 3: spin magnetization 0.000 μB/atom, VASP energy -5.41 eV per atom. Number 4: spin magnetization 0.216 μB/atom, VASP energy -4.34 eV per atom.